This record from Alexandria via LeMat-Bulk describes crystalline Pm5Tl2In2 at its relaxed geometry. The functional is PBE.

Output
ΔE_f in eV/atom: -0.34
Distance to the lowest polymorph of the same formula in eV/atom: 0.023
M_tot in μB per formula unit: 0.00
Electronic total energy in eV/cell: -74.13
DOS(E_F) in states/eV/atom: 0.88
Space-group type: Cmce (64)

a = 8.036 Å, b = 8.531 Å, c = 9.275 Å
α = 117.38°, β = 90.00°, γ = 90.00°
Fractional positions:
Pm (0.329, 0.954, 0.280)
Pm (0.500, 0.500, 0.000)
Pm (0.171, 0.454, 0.280)
Pm (0.329, 0.674, 0.720)
Pm (0.829, 0.826, 0.280)
Pm (0.171, 0.174, 0.720)
Pm (0.671, 0.326, 0.280)
Pm (0.671, 0.046, 0.720)
Pm (0.000, 0.000, 0.000)
Pm (0.829, 0.546, 0.720)
Tl (0.624, 0.871, 0.000)
Tl (0.876, 0.371, 0.000)
Tl (0.124, 0.629, 0.000)
Tl (0.376, 0.129, 0.000)
In (0.500, 0.711, 0.422)
In (0.500, 0.289, 0.578)
In (0.000, 0.211, 0.422)
In (0.000, 0.789, 0.578)